{"formula": "Cs2BaWBr6", "functional": "GGA-PBE", "state": "optimized geometry", "cell": [[0.000, 5.765, 5.765], [5.765, 0.000, 5.765], [5.765, 5.765, 0.000]], "species": ["Cs", "Cs", "Ba", "W", "Br", "Br", "Br", "Br", "Br", "Br"], "fractional_positions": [[0.250, 0.250, 0.250], [0.750, 0.750, 0.750], [0.000, 0.000, 0.000], [0.500, 0.500, 0.500], [0.273, 0.273, 0.727], [0.273, 0.727, 0.273], [0.273, 0.727, 0.727], [0.727, 0.273, 0.273], [0.727, 0.273, 0.727], [0.727, 0.727, 0.273]], "sg": "Fm-3m (225)", "vol_a3_per_atom": 38.32, "crystal_system": "cubic", "raw_formation_energy_mev_per_atom": -1175}